Entry 1:
The following is a DFT calculation (PBE) of an optimized crystal structure of AcHgF6.

Geometry as CIF:
```
data_AcHgF6
_space_group_name_H-M_alt 'P 1'
_space_group_IT_number 1
_space_group_name_Hall 'P 1'
_cell_length_a 6.511
_cell_length_b 6.511
_cell_length_c 6.511
_cell_angle_alpha 60.00
_cell_angle_beta 60.00
_cell_angle_gamma 60.00
loop_
_atom_site_label
_atom_site_type_symbol
_atom_site_fract_x
_atom_site_fract_y
_atom_site_fract_z
Ac1 Ac 0.000 0.000 0.000
Hg1 Hg 0.500 0.500 0.500
F1 F 0.259 0.259 0.741
F2 F 0.259 0.741 0.259
F3 F 0.259 0.741 0.741
F4 F 0.741 0.259 0.259
F5 F 0.741 0.259 0.741
F6 F 0.741 0.741 0.259
```

Output
* total energy: -4.53 eV per atom
* DOS(E_F): 4.70 states/eV/f.u.
* E_form (uncorrected): -2.574 eV/atom

Entry 2:
The following is a DFT calculation (PBE) of an optimized crystal structure of Ac2HgF.

Geometry as CIF:
```
data_Ac2HgF
_space_group_name_H-M_alt 'P 1'
_space_group_IT_number 1
_space_group_name_Hall 'P 1'
_cell_length_a 9.988
_cell_length_b 9.988
_cell_length_c 9.988
_cell_angle_alpha 23.93
_cell_angle_beta 23.93
_cell_angle_gamma 23.93
loop_
_atom_site_label
_atom_site_type_symbol
_atom_site_fract_x
_atom_site_fract_y
_atom_site_fract_z
Ac1 Ac 0.082 0.082 0.082
Ac2 Ac 0.918 0.918 0.918
Hg1 Hg 0.500 0.500 0.500
F1 F 0.000 0.000 0.000
```

Output
* total energy: -4.00 eV per atom
* DOS(E_F): 1.63 states/eV/f.u.
* E_form (uncorrected): -1.400 eV/atom

Entry 3:
The following is a DFT calculation (PBE) of an optimized crystal structure of AcHgF4.

Geometry as CIF:
```
data_AcHgF4
_space_group_name_H-M_alt 'P 1'
_space_group_IT_number 1
_space_group_name_Hall 'P 1'
_cell_length_a 4.410
_cell_length_b 5.444
_cell_length_c 8.520
_cell_angle_alpha 90.00
_cell_angle_beta 104.85
_cell_angle_gamma 90.00
loop_
_atom_site_label
_atom_site_type_symbol
_atom_site_fract_x
_atom_site_fract_y
_atom_site_fract_z
Ac1 Ac 0.195 0.250 0.391
Ac2 Ac 0.805 0.750 0.609
Hg1 Hg 0.464 0.250 0.930
Hg2 Hg 0.536 0.750 0.070
F1 F 0.050 0.250 0.101
F2 F 0.203 0.750 0.408
F3 F 0.338 0.506 0.674
F4 F 0.338 0.994 0.674
F5 F 0.662 0.006 0.326
F6 F 0.662 0.494 0.326
F7 F 0.797 0.250 0.592
F8 F 0.950 0.750 0.899
```

Output
* total energy: -5.01 eV per atom
* DOS(E_F): 0.73 states/eV/f.u.
* E_form (uncorrected): -3.030 eV/atom

Entry 4:
The following is a DFT calculation (PBE) of an optimized crystal structure of AcHg2F.

Geometry as CIF:
```
data_AcHg2F
_space_group_name_H-M_alt 'P 1'
_space_group_IT_number 1
_space_group_name_Hall 'P 1'
_cell_length_a 10.003
_cell_length_b 10.003
_cell_length_c 10.003
_cell_angle_alpha 22.01
_cell_angle_beta 22.01
_cell_angle_gamma 22.01
loop_
_atom_site_label
_atom_site_type_symbol
_atom_site_fract_x
_atom_site_fract_y
_atom_site_fract_z
Ac1 Ac 0.000 0.000 0.000
Hg1 Hg 0.110 0.110 0.110
Hg2 Hg 0.890 0.890 0.890
F1 F 0.500 0.500 0.500
```

Output
* total energy: -2.22 eV per atom
* DOS(E_F): 2.00 states/eV/f.u.
* E_form (uncorrected): -0.574 eV/atom

Entry 5:
The following is a DFT calculation (PBE) of an optimized crystal structure of Ac2HgF.

Geometry as CIF:
```
data_Ac2HgF
_space_group_name_H-M_alt 'P 1'
_space_group_IT_number 1
_space_group_name_Hall 'P 1'
_cell_length_a 3.702
_cell_length_b 3.702
_cell_length_c 8.208
_cell_angle_alpha 90.00
_cell_angle_beta 90.00
_cell_angle_gamma 90.00
loop_
_atom_site_label
_atom_site_type_symbol
_atom_site_fract_x
_atom_site_fract_y
_atom_site_fract_z
Ac1 Ac 0.000 0.000 0.237
Ac2 Ac 0.000 0.000 0.763
Hg1 Hg 0.500 0.500 0.500
F1 F 0.500 0.500 0.000
```

Output
* total energy: -3.70 eV per atom
* DOS(E_F): 3.83 states/eV/f.u.
* E_form (uncorrected): -1.107 eV/atom

Entry 6:
The following is a DFT calculation (PBE) of an optimized crystal structure of AcHgF5.

Geometry as CIF:
```
data_AcHgF5
_space_group_name_H-M_alt 'P 1'
_space_group_IT_number 1
_space_group_name_Hall 'P 1'
_cell_length_a 6.341
_cell_length_b 6.341
_cell_length_c 8.448
_cell_angle_alpha 109.36
_cell_angle_beta 109.36
_cell_angle_gamma 74.60
loop_
_atom_site_label
_atom_site_type_symbol
_atom_site_fract_x
_atom_site_fract_y
_atom_site_fract_z
Ac1 Ac 0.046 0.954 0.750
Ac2 Ac 0.954 0.046 0.250
Hg1 Hg 0.500 0.500 0.000
Hg2 Hg 0.500 0.500 0.500
F1 F 0.169 0.819 0.032
F2 F 0.181 0.831 0.468
F3 F 0.237 0.283 0.376
F4 F 0.283 0.237 0.876
F5 F 0.369 0.631 0.750
F6 F 0.631 0.369 0.250
F7 F 0.717 0.763 0.124
F8 F 0.763 0.717 0.624
F9 F 0.819 0.169 0.532
F10 F 0.831 0.181 0.968
```

Output
* total energy: -4.92 eV per atom
* DOS(E_F): 0.00 states/eV/f.u.
* E_form (uncorrected): -2.958 eV/atom

Entry 7:
The following is a DFT calculation (PBE) of an optimized crystal structure of AcHg4F12.

Geometry as CIF:
```
data_AcHg4F12
_space_group_name_H-M_alt 'P 1'
_space_group_IT_number 1
_space_group_name_Hall 'P 1'
_cell_length_a 7.626
_cell_length_b 7.626
_cell_length_c 7.626
_cell_angle_alpha 109.47
_cell_angle_beta 109.47
_cell_angle_gamma 109.47
loop_
_atom_site_label
_atom_site_type_symbol
_atom_site_fract_x
_atom_site_fract_y
_atom_site_fract_z
Ac1 Ac 0.000 0.000 0.000
Hg1 Hg 0.000 0.000 0.500
Hg2 Hg 0.000 0.500 0.000
Hg3 Hg 0.500 0.000 0.000
Hg4 Hg 0.500 0.500 0.500
F1 F 0.073 0.823 0.250
F2 F 0.177 0.250 0.427
F3 F 0.177 0.750 0.927
F4 F 0.250 0.073 0.823
F5 F 0.250 0.427 0.177
F6 F 0.427 0.177 0.250
F7 F 0.573 0.823 0.750
F8 F 0.750 0.573 0.823
F9 F 0.750 0.927 0.177
F10 F 0.823 0.250 0.073
F11 F 0.823 0.750 0.573
F12 F 0.927 0.177 0.750
```

Output
* total energy: -3.61 eV per atom
* DOS(E_F): 8.59 states/eV/f.u.
* E_form (uncorrected): -1.972 eV/atom

Entry 8:
The following is a DFT calculation (PBE) of an optimized crystal structure of AcHgF3.

Geometry as CIF:
```
data_AcHgF3
_space_group_name_H-M_alt 'P 1'
_space_group_IT_number 1
_space_group_name_Hall 'P 1'
_cell_length_a 4.906
_cell_length_b 4.906
_cell_length_c 4.906
_cell_angle_alpha 90.00
_cell_angle_beta 90.00
_cell_angle_gamma 90.00
loop_
_atom_site_label
_atom_site_type_symbol
_atom_site_fract_x
_atom_site_fract_y
_atom_site_fract_z
Ac1 Ac 0.000 0.000 0.000
Hg1 Hg 0.500 0.500 0.500
F1 F 0.000 0.000 0.500
F2 F 0.000 0.500 0.000
F3 F 0.500 0.000 0.000
```

Output
* total energy: -5.23 eV per atom
* DOS(E_F): 0.00 states/eV/f.u.
* E_form (uncorrected): -3.230 eV/atom